Record 1
The following is a DFT calculation (PBE) of crystalline AgSnPbSe4 at its relaxed geometry.

Unit cell a=7.0433 b=6.5778 c=9.6267 alpha=90.00 beta=102.51 gamma=90.00
Space group P2_1/m (No. 11)
Inequivalent atoms, fractional coordinates:
Ag: 0.1780 0.2500 0.0873
Sn: 0.2593 0.7500 0.7879
Pb: 0.2234 0.2500 0.4667
Se: 0.0119 0.5226 0.2299
Se: 0.3717 0.7500 0.5536
Se: 0.4797 0.2500 0.9825

Results
The uncorrected energy comes out at -51.97 eV for the cell shown. As for the uncorrected formation energy: -0.2119 eV per atom.



Record 2
The following is a DFT calculation (PBE) of crystalline AgSn2PbSe4 at its relaxed geometry.

Unit cell a=7.2461 b=4.1934 c=7.3312 alpha=90.00 beta=109.54 gamma=90.00
Space group P2/m (No. 10)
Inequivalent atoms, fractional coordinates:
Ag: 0.0000 0.0000 0.0000
Sn: 0.0000 0.5000 0.5000
Sn: 0.5000 0.0000 0.5000
Pb: 0.5000 0.5000 0.0000
Se: 0.2399 0.0000 0.7448
Se: 0.2403 0.5000 0.2481

Results
The uncorrected energy comes out at -31.39 eV for the cell shown. As for the uncorrected formation energy: -0.3603 eV per atom.